1.
Nd6CI3N2 | the Alexandria database | GGA-PBE | relaxed; raw formation energy = -12.55 eV/f.u.; ρ = 7.252 g/cm³; size of the total moment = 0.00 μB per formula unit; DOS(E_F) = 0.29 states/eV/atom; total energy = -5.973 eV/atom
1.0
-0.5116 -4.7418 4.6297
-0.4997 -1.5739 -6.4385
7.9450 0.9777 0.2884
I N C Nd
3 2 1 6
Direct
0.5000 0.5000 0.5000
0.1655 0.8345 0.5000
0.8345 0.1655 0.5000
0.6668 0.3332 0.0000
0.3332 0.6668 0.0000
0.0000 0.0000 0.0000
0.0567 0.3924 0.1700
0.9433 0.6076 0.8300
0.2791 0.2791 0.8303
0.3924 0.0567 0.1700
0.7209 0.7209 0.1697
0.6076 0.9433 0.8300

***

2.
Pm6Ge2SbS3 | the Alexandria database | GGA-PBE | relaxed; raw formation energy = -18.01 eV/f.u.; ρ = 6.474 g/cm³; size of the total moment = 0.00 μB per formula unit; DOS(E_F) = 0.18 states/eV/atom; total energy = -6.021 eV/atom
1.0
-0.1717 4.2123 -0.0808
-7.7914 -0.2572 3.1526
5.2690 -1.7507 7.5619
Pm S Sb Ge
6 3 1 2
Direct
0.6674 0.5841 0.3348
0.0014 0.2652 0.0029
0.3326 0.4159 0.6652
0.9986 0.7348 0.9971
0.6722 0.0898 0.3445
0.3278 0.9102 0.6555
0.5000 0.5000 0.0000
0.8345 0.1665 0.6689
0.1655 0.8335 0.3311
0.5000 0.0000 0.0000
0.8332 0.6657 0.6663
0.1668 0.3343 0.3337

***

3.
PmNdAg2 | the Alexandria database | GGA-PBE | relaxed; ΔH_f (0 K) = -0.028 eV/atom; ρ = 7.267 g/cm³; size of the total moment = 0.00 μB per formula unit; DOS(E_F) = 0.94 states/eV/atom; total energy = -3.833 eV/atom
1.0
-2.6563 -0.4506 -2.8785
-0.1381 -3.3677 -2.0455
-6.5170 -4.4793 4.0149
Ag Pm Nd
2 1 1
Direct
0.7492 0.7492 0.7523
0.2508 0.2508 0.2477
0.0000 0.0000 0.0000
0.5000 0.5000 0.5000

***

4.
PmTl2SeO6 | the Alexandria database | GGA-PBE | relaxed; raw formation energy = -11.45 eV/f.u.; ρ = 6.369 g/cm³; size of the total moment = 0.00 μB per formula unit; DOS(E_F) = 0.28 states/eV/atom; total energy = -5.417 eV/atom
1.0
-3.5704 -3.9457 2.6726
4.8089 -3.4632 1.3116
-1.8110 4.2818 3.9021
O Se Tl Pm
6 1 2 1
Direct
0.8145 0.7184 0.8592
0.1855 0.8592 0.7184
0.1855 0.8592 0.1408
0.8145 0.1408 0.2816
0.1855 0.2816 0.1408
0.8145 0.1408 0.8592
0.0000 0.0000 0.0000
0.9211 0.6667 0.3333
0.0789 0.3333 0.6667
0.5000 0.0000 0.0000

***

5.
Ca2Hg | the Alexandria database | GGA-PBE | relaxed; ΔH_f (0 K) = -0.280 eV/atom; ρ = 4.406 g/cm³; size of the total moment = 0.00 μB per formula unit; DOS(E_F) = 0.70 states/eV/atom; total energy = -1.715 eV/atom
1.0
-0.2361 -1.8628 -3.5451
1.7157 -1.8421 3.1235
-6.7266 -2.9112 1.9779
Hg Ca
1 2
Direct
0.0000 0.0000 0.0000
0.6667 0.3333 0.7164
0.3333 0.6667 0.2836

***

6.
CsSm2MnSe4 | the Alexandria database | GGA-PBE | relaxed; raw formation energy = -11.61 eV/f.u.; ρ = 5.702 g/cm³; size of the total moment = 4.18 μB per formula unit; DOS(E_F) = 0.36 states/eV/atom; total energy = -5.626 eV/atom
1.0
4.2402 0.0000 0.0000
-2.1201 7.4913 0.0000
0.0000 0.0000 14.7494
Sm Mn Se Cs
4 2 8 2
Direct
0.6312 0.2623 0.4421
0.6312 0.2623 0.0579
0.3688 0.7377 0.9421
0.3688 0.7377 0.5579
0.8296 0.6592 0.7500
0.1704 0.3408 0.2500
0.0000 0.0000 0.0000
0.2595 0.5190 0.3919
0.2595 0.5190 0.1081
0.7405 0.4810 0.8919
0.7405 0.4810 0.6081
0.5791 0.1581 0.2500
0.4209 0.8419 0.7500
0.0000 0.0000 0.5000
0.8953 0.7906 0.2500
0.1047 0.2094 0.7500

***

7.
Cr2NiRh | the Alexandria database | GGA-PBE | relaxed; ΔH_f (0 K) = 0.056 eV/atom; ρ = 9.002 g/cm³; size of the total moment = 0.22 μB per formula unit; DOS(E_F) = 1.23 states/eV/atom; total energy = -8.039 eV/atom
1.0
4.4199 0.0007 0.0073
3.6580 2.4807 0.0073
0.7854 0.2413 4.4705
Rh Cr Ni
1 2 1
Direct
0.2521 0.2521 0.2411
0.0031 0.0031 0.0063
0.7487 0.7487 0.7304
0.4961 0.4961 0.5222

***

8.
LaMoS3 | the Alexandria database | GGA-PBE | relaxed; raw formation energy = 1.94 eV/f.u.; ρ = 3.371 g/cm³; size of the total moment = 2.96 μB per formula unit; DOS(E_F) = 1.40 states/eV/atom; total energy = -5.239 eV/atom
1.0
-3.0983 0.3444 -4.4866
3.0312 -3.8662 -2.3900
-3.3256 -3.8447 2.0015
Mo S La
1 3 1
Direct
0.5000 0.5000 0.5000
0.0000 0.5000 0.0000
0.5000 0.0000 0.0000
0.0000 0.0000 0.5000
0.0000 0.0000 0.0000

***

9.
Mg2V2Bi | the Alexandria database | GGA-PBE | relaxed; ΔH_f (0 K) = 0.236 eV/atom; ρ = 5.657 g/cm³; size of the total moment = 1.01 μB per formula unit; DOS(E_F) = 0.65 states/eV/atom; total energy = -4.826 eV/atom
1.0
-3.4394 -2.0886 4.6237
1.9686 -4.0428 -0.3618
6.2196 2.6861 3.8270
Bi V Mg
2 4 4
Direct
0.0759 0.5000 0.2041
0.6661 0.0000 0.3886
0.1681 0.5000 0.8733
0.9744 0.5000 0.5636
0.3076 0.0000 0.0624
0.3214 0.0000 0.8009
0.1883 0.0000 0.4430
0.8496 0.0000 0.8017
0.6153 0.5000 0.0148
0.4957 0.5000 0.6204

***

10.
EuYGePd | the Alexandria database | GGA-PBE | relaxed; ΔH_f (0 K) = -0.697 eV/atom; ρ = 7.444 g/cm³; size of the total moment = 6.84 μB per formula unit; DOS(E_F) = 2.73 states/eV/atom; total energy = -7.334 eV/atom
1.0
-0.6490 4.1205 -2.9306
0.3418 -0.3990 -5.0706
-4.1828 0.4465 -2.8797
Ge Eu Y Pd
1 1 1 1
Direct
0.2500 0.2500 0.2500
0.0000 0.0000 0.0000
0.5000 0.5000 0.5000
0.7500 0.7500 0.7500

***

11.
Be2NiTe | the Alexandria database | GGA-PBE | relaxed; raw formation energy = 1.71 eV/f.u.; ρ = 5.760 g/cm³; size of the total moment = 0.00 μB per formula unit; DOS(E_F) = 0.39 states/eV/atom; total energy = -3.666 eV/atom
1.0
-4.2705 2.1772 -1.4220
2.7510 -1.4027 -3.9325
-1.8906 -1.8811 -2.6053
Ni Be Te
1 2 1
Direct
0.5000 0.0000 0.5000
0.0000 0.0000 0.0000
0.5000 0.5000 0.0000
0.0000 0.5000 0.5000

***

12.
Te3SF | the Alexandria database | GGA-PBE | relaxed; raw formation energy = 1.93 eV/f.u.; ρ = 5.218 g/cm³; size of the total moment = 0.00 μB per formula unit; DOS(E_F) = 1.19 states/eV/atom; total energy = -2.698 eV/atom
1.0
5.1685 0.0000 0.0000
0.0000 5.1685 0.0000
0.0000 0.0000 5.1685
Te F S
3 1 1
Direct
0.5000 0.0000 0.0000
0.0000 0.5000 0.0000
0.0000 0.0000 0.5000
0.5000 0.5000 0.5000
0.0000 0.0000 0.0000

***

13.
Ce3SiSb2 | the Alexandria database | GGA-PBE | relaxed; raw formation energy = -3.70 eV/f.u.; ρ = 5.665 g/cm³; size of the total moment = 1.94 μB per formula unit; DOS(E_F) = 2.65 states/eV/atom; total energy = -5.862 eV/atom
1.0
-2.4671 -2.1523 3.0553
-2.6118 -3.3693 -4.4824
6.5767 -3.3475 2.9525
Ce Sb Si
3 2 1
Direct
0.5000 0.8664 0.7327
0.0000 0.5000 0.0000
0.5000 0.1336 0.2673
0.5000 0.3469 0.6939
0.5000 0.6531 0.3061
0.0000 0.0000 0.0000